[1]
The following is a GGA-PBEsol calculation of a geometry-optimized TaRu3N structure, from Alexandria via LeMat-Bulk.

Cell lengths 4.6820, 4.6820, 4.6820 Å; angles 90.00, 90.00, 90.00 degrees
Sites, in units of the cell vectors:
Ru (0.0000, 0.0000, 0.5000)
Ru (0.5000, 0.0000, 0.0000)
Ru (0.0000, 0.5000, 0.0000)
Ta (0.0000, 0.0000, 0.0000)
N (0.5000, 0.5000, 0.5000)

Values from the calculation:
electronic total energy = -36.80 eV per formula unit
calculated volume = 102.6 Å³ per cell
Fermi-level density of states = 5.50 states/eV per cell
ΔE_f (raw) = 2.959 eV per atom
size of the total moment = 5.77 μB per formula unit

---

[2]
The following is a GGA-PBEsol calculation of a geometry-optimized CrCdSe2 structure, from Alexandria via LeMat-Bulk.

Cell lengths 3.8510, 3.8516, 5.4914 Å; angles 90.00, 90.00, 90.00 degrees
Sites, in units of the cell vectors:
Se (0.1253, 0.8750, 0.0000)
Se (0.6245, 0.3748, 0.5000)
Cr (0.1246, 0.8751, 0.5000)
Cd (0.6256, 0.3750, 0.0000)

Values from the calculation:
electronic total energy = -20.24 eV per formula unit
calculated volume = 81.5 Å³ per cell
Fermi-level density of states = 0.99 states/eV per cell
ΔE_f (raw) = -0.276 eV per atom
size of the total moment = 3.95 μB per formula unit

---

[3]
The following is a GGA-PBEsol calculation of a geometry-optimized NbCrH3 structure, from Alexandria via LeMat-Bulk.

Cell lengths 3.5574, 3.5574, 3.5574 Å; angles 90.00, 90.00, 90.00 degrees
Sites, in units of the cell vectors:
H (0.5000, 0.0000, 0.0000)
H (0.0000, 0.5000, 0.0000)
H (0.0000, 0.0000, 0.5000)
Cr (0.5000, 0.5000, 0.5000)
Nb (0.0000, 0.0000, 0.0000)

Values from the calculation:
electronic total energy = -29.25 eV per formula unit
calculated volume = 45.0 Å³ per cell
Fermi-level density of states = 2.67 states/eV per cell
size of the total moment = 3.03 μB per formula unit

---

[4]
The following is a GGA-PBEsol calculation of a geometry-optimized BeGeS2N structure, from Alexandria via LeMat-Bulk.

Cell lengths 3.5535, 4.7298, 4.7298 Å; angles 90.00, 90.00, 90.00 degrees
Sites, in units of the cell vectors:
Ge (0.0000, 0.0000, 0.0000)
Be (0.5000, 0.5000, 0.5000)
S (0.0000, 0.5000, 0.0000)
S (0.0000, 0.0000, 0.5000)
N (0.5000, 0.0000, 0.0000)

Values from the calculation:
electronic total energy = -21.72 eV per formula unit
calculated volume = 79.5 Å³ per cell
Fermi-level density of states = 2.46 states/eV per cell
ΔE_f (raw) = 0.902 eV per atom
size of the total moment = 1.15 μB per formula unit

---

[5]
The following is a GGA-PBEsol calculation of a geometry-optimized TiSnSb2I structure, from Alexandria via LeMat-Bulk.

Cell lengths 5.2822, 5.2822, 5.2948 Å; angles 90.00, 90.00, 90.00 degrees
Sites, in units of the cell vectors:
Sn (0.5000, 0.5000, 0.5000)
I (0.0000, 0.0000, 0.5000)
Sb (0.0000, 0.5000, 0.0000)
Sb (0.5000, 0.0000, 0.0000)
Ti (0.0000, 0.0000, 0.0000)

Values from the calculation:
electronic total energy = -22.56 eV per formula unit
calculated volume = 147.7 Å³ per cell
Fermi-level density of states = 4.32 states/eV per cell
ΔE_f (raw) = 0.181 eV per atom
size of the total moment = 0.00 μB per formula unit

---

[6]
The following is a GGA-PBEsol calculation of a geometry-optimized Zr5Fe24 structure, from Alexandria via LeMat-Bulk.

Cell lengths 7.7676, 7.7676, 7.7676 Å; angles 109.47, 109.47, 109.47 degrees
Sites, in units of the cell vectors:
Zr (0.0000, 0.6177, 0.0000)
Zr (0.0000, 0.0000, 0.0000)
Zr (0.3823, 0.3823, 0.3823)
Zr (0.6177, 0.0000, 0.0000)
Zr (0.0000, 0.0000, 0.6177)
Fe (0.6214, 0.8147, 0.6214)
Fe (0.2728, 0.6052, 0.6052)
Fe (0.1933, 0.3786, 0.0000)
Fe (0.3948, 0.0000, 0.6676)
Fe (0.7272, 0.3324, 0.3324)
Fe (0.0000, 0.1933, 0.3786)
Fe (0.6052, 0.6052, 0.2728)
Fe (0.1933, 0.0000, 0.3786)
Fe (0.8147, 0.6214, 0.6214)
Fe (0.8067, 0.8067, 0.1853)
Fe (0.3786, 0.0000, 0.1933)
Fe (0.0000, 0.3948, 0.6676)
Fe (0.0000, 0.6676, 0.3948)
Fe (0.6052, 0.2728, 0.6052)
Fe (0.0000, 0.3786, 0.1933)
Fe (0.3324, 0.3324, 0.7272)
Fe (0.6676, 0.0000, 0.3948)
Fe (0.3948, 0.6676, 0.0000)
Fe (0.3324, 0.7272, 0.3324)
Fe (0.8067, 0.1853, 0.8067)
Fe (0.6214, 0.6214, 0.8147)
Fe (0.6676, 0.3948, 0.0000)
Fe (0.3786, 0.1933, 0.0000)
Fe (0.1853, 0.8067, 0.8067)

Values from the calculation:
electronic total energy = -261.55 eV per formula unit
calculated volume = 360.8 Å³ per cell
Fermi-level density of states = 30.98 states/eV per cell
formation energy from the elements = -0.034 eV per atom
size of the total moment = 45.46 μB per formula unit

---

[7]
The following is a GGA-PBEsol calculation of a geometry-optimized LiTi3Cu structure, from Alexandria via LeMat-Bulk.

Cell lengths 4.6225, 4.6225, 4.6225 Å; angles 90.00, 90.00, 90.00 degrees
Sites, in units of the cell vectors:
Li (0.5000, 0.5000, 0.5000)
Ti (0.5000, 0.0000, 0.0000)
Ti (0.0000, 0.5000, 0.0000)
Ti (0.0000, 0.0000, 0.5000)
Cu (0.0000, 0.0000, 0.0000)

Values from the calculation:
electronic total energy = -27.21 eV per formula unit
calculated volume = 98.8 Å³ per cell
Fermi-level density of states = 8.40 states/eV per cell
formation energy from the elements = 0.811 eV per atom
size of the total moment = 1.72 μB per formula unit

---

[8]
The following is a GGA-PBEsol calculation of a geometry-optimized CaCu2Ni structure, from Alexandria via LeMat-Bulk.

Cell lengths 3.0949, 3.0949, 6.2469 Å; angles 90.00, 90.00, 90.00 degrees
Sites, in units of the cell vectors:
Cu (0.5000, 0.5000, 0.2543)
Cu (0.0000, 0.0000, 0.0617)
Ni (0.0000, 0.0000, 0.4431)
Ca (0.5000, 0.5000, 0.7410)

Values from the calculation:
electronic total energy = -16.44 eV per formula unit
calculated volume = 59.8 Å³ per cell
Fermi-level density of states = 2.53 states/eV per cell
formation energy from the elements = 0.129 eV per atom
size of the total moment = 0.00 μB per formula unit